No. 1
# ErThSi4, relaxed, DFT PBE-GGA
# Mass density   7.20 g/cm3
# Size of the total moment   0.0 μB/f.u.
# Crystal system   orthorhombic
# Raw formation energy   -323 kJ/mol of formula units
# D(E_F)   3.09 states/eV/f.u.
data_ErThSi4
_cell_length_a 7.034
_cell_length_b 16.684
_cell_length_c 4.025
_cell_angle_alpha 90.00
_cell_angle_beta 90.00
_cell_angle_gamma 90.00
_symmetry_space_group_name_H-M 'P b a m'
_symmetry_Int_Tables_number 55
loop_
_symmetry_equiv_pos_as_xyz
'x,y,z'
'-x,-y,-z'
'-x,-y,z'
'x,y,-z'
'x+1/2,-y+1/2,-z'
'-x+1/2,y+1/2,z'
'-x+1/2,y+1/2,-z'
'x+1/2,-y+1/2,z'
loop_
_atom_site_label
_atom_site_type_symbol
_atom_site_fract_x
_atom_site_fract_y
_atom_site_fract_z
Er1 Er 0.249 0.061 0.000
Th1 Th 0.247 0.314 0.000
Si1 Si 0.080 0.186 0.500
Si2 Si 0.080 0.439 0.500
Si3 Si 0.082 0.939 0.500
Si4 Si 0.087 0.686 0.500

---

No. 2
# LiMgZn2, relaxed, DFT PBE-GGA
# Mass density   4.10 g/cm3
# Total energy   -1.661 eV/atom
# Size of the total moment   0.0 μB/f.u.
# Crystal system   orthorhombic
# D(E_F)   0.63 states/eV/f.u.
data_LiMgZn2
_cell_length_a 3.086
_cell_length_b 3.438
_cell_length_c 6.186
_cell_angle_alpha 90.00
_cell_angle_beta 90.00
_cell_angle_gamma 90.00
_symmetry_space_group_name_H-M 'P m m m'
_symmetry_Int_Tables_number 47
loop_
_symmetry_equiv_pos_as_xyz
'x,y,z'
'-x,-y,-z'
'-x,-y,z'
'x,y,-z'
'x,-y,-z'
'-x,y,z'
'-x,y,-z'
'x,-y,z'
loop_
_atom_site_label
_atom_site_type_symbol
_atom_site_fract_x
_atom_site_fract_y
_atom_site_fract_z
Li1 Li 0.000 0.000 0.000
Mg1 Mg 0.000 0.000 0.500
Zn1 Zn 0.500 0.500 0.223

---

No. 3
# Dy7Ga5Sb, relaxed, DFT PBE-GGA
# Mass density   8.20 g/cm3
# Size of the total moment   0.0 μB/f.u.
# Crystal system   orthorhombic
# Raw formation energy   -541 kJ/mol of formula units
# D(E_F)   10.06 states/eV/f.u.
data_Dy7Ga5Sb
_cell_length_a 6.114
_cell_length_b 10.426
_cell_length_c 10.220
_cell_angle_alpha 90.00
_cell_angle_beta 90.00
_cell_angle_gamma 90.00
_symmetry_space_group_name_H-M 'I m m 2'
_symmetry_Int_Tables_number 44
loop_
_symmetry_equiv_pos_as_xyz
'x,y,z'
'-x,-y,z'
'-x,y,z'
'x,-y,z'
'x+1/2,y+1/2,z+1/2'
'-x+1/2,-y+1/2,z+1/2'
'-x+1/2,y+1/2,z+1/2'
'x+1/2,-y+1/2,z+1/2'
loop_
_atom_site_label
_atom_site_type_symbol
_atom_site_fract_x
_atom_site_fract_y
_atom_site_fract_z
Dy1 Dy 0.000 0.000 0.000
Dy2 Dy 0.000 0.000 0.385
Dy3 Dy 0.000 0.313 0.630
Dy4 Dy 0.000 0.329 0.093
Dy5 Dy 0.000 0.500 0.346
Ga1 Ga 0.000 0.500 0.851
Ga2 Ga 0.242 0.253 0.369
Sb1 Sb 0.000 0.000 0.687

---

No. 4
# Y4TlRh, relaxed, DFT PBE-GGA
# Distance to the lowest polymorph of the same formula   0.189 eV/atom
# Mass density   6.02 g/cm3
# Size of the total moment   0.0 μB/f.u.
# Crystal system   monoclinic
# D(E_F)   6.52 states/eV/f.u.
data_Y4TlRh
_cell_length_a 7.442
_cell_length_b 7.091
_cell_length_c 6.929
_cell_angle_alpha 90.00
_cell_angle_beta 92.19
_cell_angle_gamma 90.00
_symmetry_space_group_name_H-M 'P 1 21/c 1'
_symmetry_Int_Tables_number 14
loop_
_symmetry_equiv_pos_as_xyz
'x,y,z'
'-x,-y,-z'
'-x,y+1/2,-z+1/2'
'x,-y+1/2,z+1/2'
loop_
_atom_site_label
_atom_site_type_symbol
_atom_site_fract_x
_atom_site_fract_y
_atom_site_fract_z
Y1 Y 0.141 0.159 0.175
Y2 Y 0.315 0.643 0.123
Tl1 Tl 0.500 0.000 0.000
Rh1 Rh 0.000 0.000 0.500

---

No. 5
# AlInHg3, relaxed, DFT PBE-GGA
# Distance to the lowest polymorph of the same formula   0.000 eV/atom
# Mass density   8.45 g/cm3
# Size of the total moment   0.0 μB/f.u.
# Crystal system   cubic
# D(E_F)   2.86 states/eV/f.u.
data_AlInHg3
_cell_length_a 5.266
_cell_length_b 5.266
_cell_length_c 5.266
_cell_angle_alpha 90.00
_cell_angle_beta 90.00
_cell_angle_gamma 90.00
_symmetry_space_group_name_H-M 'P m -3 m'
_symmetry_Int_Tables_number 221
_symmetry_space_group_name_Hall '-P 4 2 3'
loop_
_atom_site_label
_atom_site_type_symbol
_atom_site_fract_x
_atom_site_fract_y
_atom_site_fract_z
Al1 Al 0.000 0.000 0.000
In1 In 0.500 0.500 0.500
Hg1 Hg 0.000 0.000 0.500

---

No. 6
# PmSi3Rh3, relaxed, DFT PBE-GGA
# Distance to the lowest polymorph of the same formula   0.161 eV/atom
# Mass density   6.51 g/cm3
# Size of the total moment   0.0 μB/f.u.
# Crystal system   cubic
# Raw formation energy   -375 kJ/mol of formula units
# D(E_F)   5.78 states/eV/f.u.
data_PmSi3Rh3
_cell_length_a 6.499
_cell_length_b 6.499
_cell_length_c 6.499
_cell_angle_alpha 90.00
_cell_angle_beta 90.00
_cell_angle_gamma 90.00
_symmetry_space_group_name_H-M 'P m -3 n'
_symmetry_Int_Tables_number 223
_symmetry_space_group_name_Hall '-P 4n 2 3'
loop_
_atom_site_label
_atom_site_type_symbol
_atom_site_fract_x
_atom_site_fract_y
_atom_site_fract_z
Pm1 Pm 0.000 0.000 0.000
Si1 Si 0.000 0.250 0.500
Rh1 Rh 0.000 0.500 0.250

---

No. 7
# Ce3TeN3, relaxed, DFT PBE-GGA
# Distance to the lowest polymorph of the same formula   0.041 eV/atom
# Mass density   6.27 g/cm3
# Size of the total moment   1.2 μB/f.u.
# Crystal system   trigonal
# Raw formation energy   -1000 kJ/mol of formula units
# D(E_F)   9.02 states/eV/f.u.
data_Ce3TeN3
_cell_length_a 6.8627
_cell_length_b 6.8627
_cell_length_c 22.9994
_cell_angle_alpha 90.00
_cell_angle_beta 90.00
_cell_angle_gamma 120.00
_symmetry_space_group_name_H-M 'R -3'
_symmetry_Int_Tables_number 148
_symmetry_space_group_name_Hall '-R 3'
loop_
_atom_site_label
_atom_site_type_symbol
_atom_site_fract_x
_atom_site_fract_y
_atom_site_fract_z
Ce1 Ce 0.0028 0.3467 0.3935
Te1 Te 0.0000 0.0000 0.1664
N1 N 0.0062 0.3249 0.6270